Record 1
This record from Alexandria via LeMat-Bulk describes a geometry-optimized K3Na6Pb structure. The functional is PBE.

Computed properties:
E: -1.51 eV/atom
M_tot: 0.0 Bohr magnetons per cell
SG: P2_1/c (14)

a = 5.7577 Å, b = 12.6103 Å, c = 12.1435 Å
α = 90.00°, β = 90.03°, γ = 90.00°
Last column: nearest neighbours and their distance in Å.
Sites, in units of the cell vectors:
1 K 0.4993 0.9410 0.7542  5 Na 3.65-3.93
2 K 0.5000 0.5000 0.0000  4 Na 3.98-4.43, 4 K 4.28-4.29
3 K 0.5007 0.0590 0.2458  5 Na 3.65-3.93
4 K 0.9993 0.5590 0.2542  5 Na 3.65-3.93
5 K 0.0000 0.0000 0.5000  4 Na 3.98-4.43, 4 K 4.28-4.29
6 K 0.0007 0.4410 0.7458  5 Na 3.65-3.93
7 Na 0.4989 0.1508 0.9611  2 Pb 3.48-3.49, 4 Na 3.57-3.58, 2 K 3.65
8 Na 0.4992 0.2528 0.6051  1 Pb 3.37, 2 Na 3.58
9 Na 0.4987 0.3494 0.2878  1 Pb 3.20, 2 Na 3.57
10 Na 0.5013 0.6506 0.7122  1 Pb 3.20, 2 Na 3.57
11 Na 0.5008 0.7472 0.3949  1 Pb 3.37, 2 Na 3.58
12 Na 0.5011 0.8492 0.0389  2 Pb 3.48-3.49, 4 Na 3.57-3.58, 2 K 3.65
13 Na 0.9989 0.3492 0.4611  2 Pb 3.48-3.49, 4 Na 3.57-3.58, 2 K 3.65
14 Na 0.9992 0.2472 0.1051  1 Pb 3.37, 2 Na 3.58
15 Na 0.9987 0.1506 0.7877  1 Pb 3.20, 2 Na 3.57
16 Na 0.0013 0.8494 0.2123  1 Pb 3.20, 2 Na 3.57
17 Na 0.0008 0.7528 0.8949  1 Pb 3.37, 2 Na 3.58
18 Na 0.0011 0.6508 0.5389  2 Pb 3.48-3.49, 4 Na 3.57-3.58, 2 K 3.65
19 Pb 0.5000 0.5000 0.5000  8 Na 3.20-3.49
20 Pb 0.0000 0.0000 0.0000  8 Na 3.20-3.49

=====

Record 2
This record from Alexandria via LeMat-Bulk describes a geometry-optimized Tb3ZrCd2 structure. The functional is PBE.

Computed properties:
E: -4.22 eV/atom
M_tot: 0.0 Bohr magnetons per cell
SG: P4/mmm (123)

a = 3.4807 Å, b = 3.4807 Å, c = 13.2033 Å
α = 90.00°, β = 90.00°, γ = 90.00°
Last column: nearest neighbours and their distance in Å.
Sites, in units of the cell vectors:
1 Tb 0.0000 0.0000 0.0000  8 Cd 3.26, 4 Tb 3.48
2 Tb 0.0000 0.0000 0.6718  4 Cd 3.30, 4 Zr 3.35, 4 Tb 3.48
3 Tb 0.0000 0.0000 0.3282  4 Cd 3.30, 4 Zr 3.35, 4 Tb 3.48
4 Zr 0.5000 0.5000 0.5000  8 Tb 3.35, 4 Zr 3.48
5 Cd 0.5000 0.5000 0.8385  8 Tb 3.26-3.30, 4 Cd 3.48
6 Cd 0.5000 0.5000 0.1615  8 Tb 3.26-3.30, 4 Cd 3.48

=====

Record 3
This record from Alexandria via LeMat-Bulk describes a geometry-optimized CsLaFe3 structure. The functional is PBE.

Computed properties:
E: -4.63 eV/atom
M_tot: 8.1 Bohr magnetons per cell
SG: Pm-3m (221)

a = 5.4452 Å, b = 5.4452 Å, c = 5.4452 Å
α = 90.00°, β = 90.00°, γ = 90.00°
Last column: nearest neighbours and their distance in Å.
Sites, in units of the cell vectors:
1 Cs 0.5000 0.5000 0.5000  12 Fe 3.85
2 Fe 0.0000 0.5000 0.0000  2 La 2.72
3 Fe 0.0000 0.0000 0.5000  2 La 2.72
4 Fe 0.5000 0.0000 0.0000  2 La 2.72
5 La 0.0000 0.0000 0.0000  6 Fe 2.72

=====

Record 4
This record from Alexandria via LeMat-Bulk describes a geometry-optimized Na2PtRhC structure. The functional is PBE.

Computed properties:
E: -3.26 eV/atom
M_tot: 2.3 Bohr magnetons per cell
SG: P4/mmm (123)

a = 5.5159 Å, b = 4.6922 Å, c = 5.5159 Å
α = 90.00°, β = 90.00°, γ = 90.00°
Last column: nearest neighbours and their distance in Å.
Sites, in units of the cell vectors:
1 Na 0.0000 0.0000 0.5000  2 Rh 2.76
2 Na 0.5000 0.0000 0.0000  2 Rh 2.76
3 C 0.5000 0.5000 0.5000  8 Na 3.62, 4 Pt 3.90
4 Rh 0.0000 0.0000 0.0000  2 Pt 2.35
5 Pt 0.0000 0.5000 0.0000  2 Rh 2.35